Record 1
ZnTcRh4 after structural relaxation. Source: Alexandria via LeMat-Bulk, functional PBE.

Cell: 5.0711 5.0711 5.0711 Å, 60.00 60.00 60.00°
Closest atoms and distances in Å follow each position.
Positions (direct):
Zn1 0.0000 0.0000 0.0000  12 Rh 2.97, 4 Tc 3.11
Tc1 0.7500 0.7500 0.7500  12 Rh 2.97, 4 Zn 3.11
Rh1 0.8758 0.3747 0.3747  6 Rh 2.53-2.54
Rh2 0.3747 0.3747 0.8758  6 Rh 2.53-2.54
Rh3 0.3747 0.8758 0.3747  6 Rh 2.53-2.54
Rh4 0.3747 0.3747 0.3747  6 Rh 2.53-2.54

Calculated values
E_form	1.905	eV per formula unit
density of states at the Fermi level	8.73	states/eV/f.u.
V	15.37	Å³ per atom
spin magnetization	0.291	μB per atom
VASP energy	-0.4795	Ry/atom



Record 2
Zn2TcRh3 after structural relaxation. Source: Alexandria via LeMat-Bulk, functional PBE.

Cell: 2.8205 2.8205 10.5427 Å, 90.00 90.00 90.00°
Closest atoms and distances in Å follow each position.
Positions (direct):
Zn1 0.5000 0.5000 0.8391  8 Rh 2.62-2.67, 4 Zn 2.82
Zn2 0.5000 0.5000 0.1609  8 Rh 2.62-2.67, 4 Zn 2.82
Tc1 0.5000 0.5000 0.5000  8 Rh 2.69, 4 Tc 2.82
Rh1 0.0000 0.0000 0.0000  8 Zn 2.62, 4 Rh 2.82
Rh2 0.0000 0.0000 0.6711  4 Zn 2.67, 4 Tc 2.69, 4 Rh 2.82
Rh3 0.0000 0.0000 0.3289  4 Zn 2.67, 4 Tc 2.69, 4 Rh 2.82

Calculated values
E_form	-1.638	eV per formula unit
density of states at the Fermi level	5.19	states/eV/f.u.
V	13.98	Å³ per atom
spin magnetization	0.000	μB per atom
VASP energy	-0.4484	Ry/atom



Record 3
Zn2TcRh after structural relaxation. Source: Alexandria via LeMat-Bulk, functional PBE.

Cell: 3.7407 2.7640 6.1831 Å, 63.07 90.00 90.00°
Closest atoms and distances in Å follow each position.
Positions (direct):
Rh1 0.0000 0.4910 0.5108  4 Tc 2.64, 6 Zn 2.73-2.78, 2 Rh 2.76
Tc1 0.5000 0.7605 0.7385  4 Rh 2.64, 6 Zn 2.72-2.79, 2 Tc 2.76
Zn1 0.0000 0.9920 0.0064  6 Zn 2.66-2.76, 2 Rh 2.73-2.78, 4 Tc 2.75-2.76
Zn2 0.5000 0.2565 0.2443  6 Zn 2.66-2.76, 2 Tc 2.72-2.79, 4 Rh 2.74-2.76

Calculated values
E_form	-0.292	eV per formula unit
density of states at the Fermi level	2.60	states/eV/f.u.
V	14.25	Å³ per atom
spin magnetization	0.000	μB per atom
VASP energy	-0.3777	Ry/atom
excess energy over the best structure of this formula in the dataset	0.22	eV/f.u.



Record 4
ZnTc2Rh after structural relaxation. Source: Alexandria via LeMat-Bulk, functional PBE.

Cell: 4.6611 4.6611 4.8057 Å, 81.54 81.54 33.94°
Closest atoms and distances in Å follow each position.
Positions (direct):
Rh1 0.2545 0.2545 0.2753  3 Zn 2.58-2.66, 6 Tc 2.72-2.79, 2 Rh 2.72
Tc1 0.9896 0.9896 0.9761  5 Tc 2.49-2.75, 2 Rh 2.72, 2 Zn 2.73
Tc2 0.7508 0.7508 0.7691  5 Tc 2.49-2.75, 2 Rh 2.73, 1 Zn 2.77
Zn1 0.5051 0.5051 0.4796  3 Rh 2.58-2.66, 2 Zn 2.72, 7 Tc 2.73-2.82

Calculated values
E_form	0.052	eV per formula unit
density of states at the Fermi level	4.60	states/eV/f.u.
V	14.40	Å³ per atom
spin magnetization	0.000	μB per atom
VASP energy	-0.5385	Ry/atom



Record 5
ZnTc2Rh after structural relaxation. Source: Alexandria via LeMat-Bulk, functional PBE.

Cell: 4.7359 4.7359 4.7359 Å, 132.32 132.21 69.82°
Closest atoms and distances in Å follow each position.
Positions (direct):
Rh1 0.2500 0.7500 0.5000  8 Tc 2.71-2.73, 4 Zn 2.73
Tc1 0.9998 0.9998 0.0000  4 Zn 2.71, 4 Tc 2.72-2.73, 4 Rh 2.73
Tc2 0.7502 0.2502 0.5000  4 Rh 2.71, 4 Tc 2.72-2.73, 4 Zn 2.73
Zn1 0.5001 0.5001 0.0000  8 Tc 2.71-2.73, 4 Rh 2.73

Calculated values
E_form	0.160	eV per formula unit
density of states at the Fermi level	4.36	states/eV/f.u.
V	14.26	Å³ per atom
spin magnetization	0.000	μB per atom
VASP energy	-0.5365	Ry/atom



Record 6
Zn2TcRh after structural relaxation. Source: Alexandria via LeMat-Bulk, functional PBE.

Cell: 2.9403 2.9416 6.4805 Å, 90.00 90.00 90.00°
Closest atoms and distances in Å follow each position.
Positions (direct):
Rh1 0.5000 0.5000 0.2500  8 Zn 2.59
Tc1 0.5000 0.5000 0.7500  8 Zn 2.68, 4 Tc 2.94
Zn1 0.0000 0.0000 0.0106  4 Rh 2.59, 4 Tc 2.68
Zn2 0.0000 0.0000 0.4894  4 Rh 2.59, 4 Tc 2.68

Calculated values
E_form	-0.087	eV per formula unit
density of states at the Fermi level	3.54	states/eV/f.u.
V	14.01	Å³ per atom
spin magnetization	0.100	μB per atom
VASP energy	-0.3740	Ry/atom
excess energy over the best structure of this formula in the dataset	0.43	eV/f.u.



Record 7
Zn2TcRh after structural relaxation. Source: Alexandria via LeMat-Bulk, functional PBE.

Cell: 5.2163 5.2163 5.2163 Å, 149.01 126.92 62.74°
Closest atoms and distances in Å follow each position.
Positions (direct):
Rh1 0.7500 0.2500 0.5000  4 Zn 2.58, 4 Tc 2.72, 2 Rh 2.79
Tc1 0.2500 0.7500 0.5000  4 Zn 2.67, 4 Rh 2.72, 2 Tc 2.79
Zn1 0.9943 0.9943 0.0000  2 Rh 2.58, 2 Tc 2.67, 6 Zn 2.72-2.79
Zn2 0.5057 0.5057 0.0000  2 Rh 2.58, 2 Tc 2.67, 6 Zn 2.72-2.79

Calculated values
E_form	0.135	eV per formula unit
density of states at the Fermi level	3.31	states/eV/f.u.
V	14.46	Å³ per atom
spin magnetization	0.157	μB per atom
VASP energy	-0.3699	Ry/atom
excess energy over the best structure of this formula in the dataset	0.65	eV/f.u.



Record 8
Zn2TcRh after structural relaxation. Source: Alexandria via LeMat-Bulk, functional PBE.

Cell: 4.5776 4.5776 4.8641 Å, 80.55 80.55 34.62°
Closest atoms and distances in Å follow each position.
Positions (direct):
Rh1 0.7500 0.7500 0.7500  6 Zn 2.66-2.69, 2 Rh 2.72, 4 Tc 2.79
Tc1 0.2500 0.2500 0.2500  6 Zn 2.67-2.70, 2 Tc 2.72, 4 Rh 2.79
Zn1 0.0025 0.0025 0.9962  3 Rh 2.66-2.69, 3 Tc 2.67-2.70, 6 Zn 2.72-2.81
Zn2 0.4975 0.4975 0.5038  3 Rh 2.66-2.69, 3 Tc 2.67-2.70, 6 Zn 2.72-2.81

Calculated values
E_form	-0.132	eV per formula unit
density of states at the Fermi level	3.54	states/eV/f.u.
V	14.26	Å³ per atom
spin magnetization	0.000	μB per atom
VASP energy	-0.3748	Ry/atom
excess energy over the best structure of this formula in the dataset	0.38	eV/f.u.



Record 9
Zn2TcRh after structural relaxation. Source: Alexandria via LeMat-Bulk, functional PBE.

Cell: 2.7799 2.7799 7.4249 Å, 90.00 90.00 90.00°
Closest atoms and distances in Å follow each position.
Positions (direct):
Rh1 0.0000 0.0000 0.5041  4 Tc 2.64, 4 Zn 2.68, 4 Rh 2.78
Tc1 0.5000 0.5000 0.7414  4 Rh 2.64, 4 Zn 2.73, 4 Tc 2.78
Zn1 0.0000 0.0000 0.9960  4 Tc 2.73, 8 Zn 2.77-2.78
Zn2 0.5000 0.5000 0.2585  4 Rh 2.68, 8 Zn 2.77-2.78

Calculated values
E_form	-0.514	eV per formula unit
density of states at the Fermi level	2.70	states/eV/f.u.
V	14.34	Å³ per atom
spin magnetization	0.000	μB per atom
VASP energy	-0.3818	Ry/atom
excess energy over the best structure of this formula in the dataset	0.00	eV/f.u.



Record 10
Zn2TcRh after structural relaxation. Source: Alexandria via LeMat-Bulk, functional PBE.

Cell: 6.9303 6.9303 5.5343 Å, 51.24 51.24 90.00°
Closest atoms and distances in Å follow each position.
Positions (direct):
Zn1 0.6314 0.1250 0.2500  2 Rh 2.50, 2 Tc 2.56, 2 Zn 2.57
Zn2 0.1186 0.6250 0.2500  2 Rh 2.50, 2 Tc 2.56, 2 Zn 2.57
Zn3 0.3750 0.3686 0.7500  2 Rh 2.50, 2 Tc 2.56, 2 Zn 2.57
Zn4 0.8750 0.8814 0.7500  2 Rh 2.50, 2 Tc 2.56, 2 Zn 2.57
Rh1 0.0000 0.0000 0.0000  4 Zn 2.50, 2 Tc 2.57
Rh2 0.7500 0.2500 0.5000  4 Zn 2.50, 2 Tc 2.57
Tc1 0.5000 0.5000 0.0000  4 Zn 2.56, 2 Rh 2.57
Tc2 0.2500 0.7500 0.5000  4 Zn 2.56, 2 Rh 2.57

Calculated values
E_form	1.668	eV per formula unit
density of states at the Fermi level	4.24	states/eV/f.u.
V	15.44	Å³ per atom
spin magnetization	0.225	μB per atom
VASP energy	-0.3417	Ry/atom
excess energy over the best structure of this formula in the dataset	2.18	eV/f.u.



Record 11
ZnTc2Rh after structural relaxation. Source: Alexandria via LeMat-Bulk, functional PBE.

Cell: 2.6982 2.6982 8.8962 Å, 90.00 90.00 115.86°
Closest atoms and distances in Å follow each position.
Positions (direct):
Rh1 0.5000 0.5000 0.7458  2 Zn 2.59, 6 Rh 2.70-2.87, 2 Tc 2.71
Tc1 0.0000 0.0000 0.0038  8 Tc 2.59-2.87, 2 Rh 2.71
Tc2 0.5000 0.5000 0.2467  8 Tc 2.59-2.87, 2 Zn 2.70
Zn1 0.0000 0.0000 0.5037  2 Rh 2.59, 2 Tc 2.70, 6 Zn 2.70-2.87

Calculated values
E_form	0.408	eV per formula unit
density of states at the Fermi level	2.90	states/eV/f.u.
V	14.57	Å³ per atom
spin magnetization	0.000	μB per atom
VASP energy	-0.5319	Ry/atom



Record 12
Zn2TcRh after structural relaxation. Source: Alexandria via LeMat-Bulk, functional PBE.

Cell: 2.6839 2.6839 8.5070 Å, 90.00 90.00 110.84°
Closest atoms and distances in Å follow each position.
Positions (direct):
Rh1 0.5000 0.5000 0.2500  4 Zn 2.58, 4 Rh 2.68
Tc1 0.5000 0.5000 0.7500  4 Zn 2.66, 4 Tc 2.68
Zn1 0.0000 0.0000 0.0059  2 Rh 2.58, 2 Tc 2.66, 4 Zn 2.68
Zn2 0.0000 0.0000 0.4941  2 Rh 2.58, 2 Tc 2.66, 4 Zn 2.68

Calculated values
E_form	-0.003	eV per formula unit
density of states at the Fermi level	3.89	states/eV/f.u.
V	14.32	Å³ per atom
spin magnetization	0.002	μB per atom
VASP energy	-0.3724	Ry/atom
excess energy over the best structure of this formula in the dataset	0.51	eV/f.u.